1.
BaTeAu2 | PBE-GGA | relaxed

a b c (Å): 7.4118 7.4118 4.2603
angles (deg): 73.25 73.25 32.24
Positions (direct):
Au (0.9355, 0.9355, 0.0654)
Au (0.2646, 0.2646, 0.2345)
Te (0.7565, 0.7565, 0.7430)
Ba (0.5434, 0.5434, 0.4571)

Calculated values
E_form (uncorrected) ... -12.4 kcal/mol of atoms

***

2.
Ba2TeAu | PBE-GGA | relaxed

a b c (Å): 6.8011 6.8011 5.2825
angles (deg): 90.03 90.03 39.14
Positions (direct):
Te (0.4760, 0.4760, 0.6249)
Au (0.2657, 0.2657, 0.1251)
Ba (0.7512, 0.7512, 0.6250)
Ba (0.0071, 0.0071, 0.1250)

Calculated values
E_form (uncorrected) ... -25.8 kcal/mol of atoms

***

3.
Ba3TeAu | PBE-GGA | relaxed

a b c (Å): 6.2759 6.2759 6.2759
angles (deg): 90.00 90.00 90.00
Positions (direct):
Au (0.0000, 0.0000, 0.0000)
Ba (0.0000, 0.5000, 0.0000)
Ba (0.0000, 0.0000, 0.5000)
Te (0.5000, 0.5000, 0.5000)
Ba (0.5000, 0.0000, 0.0000)

Calculated values
E_form (uncorrected) ... -14.8 kcal/mol of atoms

***

4.
BaTeAu3 | PBE-GGA | relaxed

a b c (Å): 5.9016 5.9016 5.9016
angles (deg): 90.00 90.00 90.00
Positions (direct):
Au (0.0000, 0.5000, 0.0000)
Au (0.0000, 0.0000, 0.5000)
Te (0.5000, 0.5000, 0.5000)
Au (0.5000, 0.0000, 0.0000)
Ba (0.0000, 0.0000, 0.0000)

Calculated values
E_form (uncorrected) ... 17.8 kcal/mol of atoms

***

5.
BaTeAu2 | PBE-GGA | relaxed

a b c (Å): 5.0084 4.5412 5.5842
angles (deg): 90.01 90.00 90.00
Positions (direct):
Ba (0.5000, 0.2500, 0.2500)
Te (0.5000, 0.7500, 0.7500)
Au (0.0000, 0.7501, 0.4905)
Au (0.0000, 0.7499, 0.0095)

Calculated values
E_form (uncorrected) ... -17.2 kcal/mol of atoms

***

6.
BaTeAu2 | PBE-GGA | relaxed

a b c (Å): 5.1339 5.1339 5.9502
angles (deg): 67.38 67.38 55.92
Positions (direct):
Ba (0.2500, 0.2500, 0.2500)
Te (0.7500, 0.7500, 0.7500)
Au (0.0283, 0.0283, 0.8982)
Au (0.4717, 0.4717, 0.6018)

Calculated values
E_form (uncorrected) ... -13.1 kcal/mol of atoms

***

7.
BaTe2Au2 | PBE-GGA | relaxed

a b c (Å): 4.4629 4.4629 7.9827
angles (deg): 73.77 73.77 90.00
Positions (direct):
Au (0.7500, 0.2500, 0.5000)
Ba (0.0000, 0.0000, 0.0000)
Au (0.2500, 0.7500, 0.5000)
Te (0.6229, 0.6229, 0.7542)
Te (0.3771, 0.3771, 0.2458)

Calculated values
E_form (uncorrected) ... -13.8 kcal/mol of atoms

***

8.
Ba2TeAu | PBE-GGA | relaxed

a b c (Å): 5.7854 5.7854 5.7854
angles (deg): 60.00 60.00 60.00
Positions (direct):
Au (0.5000, 0.5000, 0.5000)
Te (0.7500, 0.7500, 0.7500)
Ba (0.2500, 0.2500, 0.2500)
Ba (0.0000, 0.0000, 0.0000)

Calculated values
E_form (uncorrected) ... -13.0 kcal/mol of atoms

***

9.
Ba2TeAu | PBE-GGA | relaxed

a b c (Å): 4.2153 4.2156 9.1629
angles (deg): 62.65 90.00 90.00
Positions (direct):
Ba (0.0000, 0.4952, 0.5047)
Au (0.5000, 0.7500, 0.7500)
Te (0.5000, 0.2500, 0.2500)
Ba (0.0000, 0.0048, 0.9953)

Calculated values
E_form (uncorrected) ... -25.8 kcal/mol of atoms

***

10.
BaTeAu2 | PBE-GGA | relaxed

a b c (Å): 4.1020 4.1020 7.1970
angles (deg): 90.00 90.00 103.75
Positions (direct):
Au (0.5000, 0.5000, 0.1985)
Te (0.5000, 0.5000, 0.8035)
Au (0.0000, 0.0000, 0.0037)
Ba (0.0000, 0.0000, 0.4942)

Calculated values
E_form (uncorrected) ... -8.6 kcal/mol of atoms

***

11.
BaTeAu3 | PBE-GGA | relaxed

a b c (Å): 5.4067 5.4067 5.4067
angles (deg): 90.00 90.00 90.00
Positions (direct):
Te (0.0000, 0.0000, 0.0000)
Au (0.5000, 0.0000, 0.0000)
Au (0.0000, 0.5000, 0.0000)
Ba (0.5000, 0.5000, 0.5000)
Au (0.0000, 0.0000, 0.5000)

Calculated values
E_form (uncorrected) ... -5.6 kcal/mol of atoms

***

12.
Ba2TeAu | PBE-GGA | relaxed

a b c (Å): 8.8507 8.8507 8.8507
angles (deg): 150.67 150.57 42.04
Positions (direct):
Au (0.2071, 0.7071, 0.5000)
Ba (0.7901, 0.2901, 0.5000)
Te (0.4565, 0.4565, 0.0000)
Ba (0.0463, 0.0463, 0.0000)

Calculated values
E_form (uncorrected) ... -24.6 kcal/mol of atoms

***

- Look up the E_form (uncorrected) of the seventh one.
  -13.8 kcal/mol of atoms

***

- Look up the E_form (uncorrected) of the fourth one.
  17.8 kcal/mol of atoms